1.
MgPaAlHg | the Alexandria database | PBE | optimized geometry; calculated formation energy = 0.0040 eV/atom
1.0
-4.355 2.289 -1.044
-1.554 0.396 -4.767
-3.938 -2.693 -1.593
Mg Pa Hg Al
1 1 1 1
direct
0.000 0.000 0.000 Mg
0.500 0.500 0.500 Pa
0.250 0.250 0.250 Hg
0.750 0.750 0.750 Al

=====

2.
MgAlHgPb | the Alexandria database | PBE | optimized geometry; calculated formation energy = 0.1099 eV/atom
1.0
5.126 0.000 0.000
2.563 4.439 0.000
2.563 1.480 4.185
Pb Mg Hg Al
1 1 1 1
direct
0.750 0.750 0.750 Pb
0.000 0.000 0.000 Mg
0.250 0.250 0.250 Hg
0.500 0.500 0.500 Al

=====

3.
PmMg2AlHg2 | the Alexandria database | PBE | optimized geometry; calculated formation energy = 0.0705 eV/atom
1.0
-2.839 0.884 4.461
-3.046 -4.275 -1.091
6.551 -1.629 1.270
Pm Mg Al Hg
1 2 1 2
direct
0.500 0.500 0.000 Pm
0.250 0.750 0.500 Mg
0.750 0.250 0.500 Mg
0.000 0.000 0.000 Al
0.778 0.778 0.555 Hg
0.222 0.222 0.445 Hg

=====

4.
PuMg2AlHg4 | the Alexandria database | PBE | optimized geometry; calculated formation energy = -0.1015 eV/atom
1.0
-2.398 -3.484 2.491
-3.265 -2.855 -2.300
4.489 -7.867 -1.845
Pu Mg Al Hg
1 2 1 4
direct
0.000 0.000 0.000 Pu
0.754 0.754 0.737 Mg
0.246 0.246 0.263 Mg
0.500 0.500 0.500 Al
0.385 0.385 0.845 Hg
0.873 0.873 0.381 Hg
0.127 0.127 0.619 Hg
0.615 0.615 0.155 Hg

=====

5.
MgAl2HgS | the Alexandria database | PBE | optimized geometry; E_form (uncorrected) = 0.909 eV per formula unit
1.0
4.812 0.000 0.000
0.000 4.798 0.000
0.000 0.000 4.812
Mg S Hg Al
1 1 1 2
direct
0.000 0.500 0.000 Mg
0.000 0.000 0.000 S
0.500 0.500 0.500 Hg
0.000 0.000 0.500 Al
0.500 0.000 0.000 Al

=====

6.
MgAlHg2S | the Alexandria database | PBE | optimized geometry; E_form (uncorrected) = 0.262 eV per formula unit
1.0
5.350 0.000 0.000
0.000 4.622 0.000
0.000 0.000 5.350
Mg S Hg Al
1 1 2 1
direct
0.500 0.500 0.500 Mg
0.000 0.500 0.000 S
0.000 0.000 0.500 Hg
0.500 0.000 0.000 Hg
0.000 0.000 0.000 Al

=====

7.
MgScAlHg | the Alexandria database | PBE | optimized geometry; calculated formation energy = -0.2705 eV/atom
1.0
4.859 0.000 0.000
2.429 4.208 0.000
2.429 1.403 3.967
Sc Mg Hg Al
1 1 1 1
direct
0.000 0.000 0.000 Sc
0.500 0.500 0.500 Mg
0.250 0.250 0.250 Hg
0.750 0.750 0.750 Al

=====

8.
SmMgAlHg | the Alexandria database | PBE | optimized geometry; calculated formation energy = -0.3210 eV/atom
1.0
-3.751 0.207 3.438
-0.218 -3.448 3.741
1.016 1.379 4.796
Mg Hg Sm Al
1 1 1 1
direct
0.750 0.750 0.750 Mg
0.500 0.500 0.500 Hg
0.250 0.250 0.250 Sm
0.000 0.000 0.000 Al

=====

Short version: density of states at the Fermi level = 4.67, 2.21, 3.24, 17.12, 2.88, 3.74, 1.14, 1.98 states/eV/cell, in the order given.
Short version: electronic total energy = -3.780, -2.227, -1.977, -2.910, -2.520, -1.961, -3.263, -2.910 eV/atom, in the order given.